[1]
Below is a geometry-optimized Dy3Mg3Tl2Zn structure, with properties calculated at the PBE level.

Calculated values
total magnetic moment = 0.0 μB/cell
space-group type = No. 189
raw total energy = -27.3 eV for the cell shown

CIF file:
```
data_Dy3Mg3Tl2Zn
_chemical_formula_sum 'Dy3 Mg3 Tl2 Zn1'
_space_group_name_H-M_alt 'P 1'
_space_group_IT_number 1
_space_group_name_Hall 'P 1'
_cell_length_a 7.535
_cell_length_b 7.535
_cell_length_c 4.514
_cell_angle_alpha 90.00
_cell_angle_beta 90.00
_cell_angle_gamma 120.00
loop_
_atom_site_label
_atom_site_fract_x
_atom_site_fract_y
_atom_site_fract_z
_atom_site_occupancy
Dy1 0.000 0.415 0.000 1
Dy2 0.415 0.000 0.000 1
Dy3 0.585 0.585 0.000 1
Mg1 0.000 0.765 0.500 1
Mg2 0.235 0.235 0.500 1
Mg3 0.765 0.000 0.500 1
Tl1 0.333 0.667 0.500 1
Tl2 0.667 0.333 0.500 1
Zn1 0.000 0.000 0.000 1
```

=====

[2]
Below is a geometry-optimized DyYMg structure, with properties calculated at the PBE level.

Calculated values
total magnetic moment = 0.0 μB/cell
energy above the most stable polymorph in this dataset = 1.6 kJ/mol of atoms
space-group type = No. 63

CIF file:
```
data_DyYMg
_chemical_formula_sum 'Dy2 Y2 Mg2'
_space_group_name_H-M_alt 'P 1'
_space_group_IT_number 1
_space_group_name_Hall 'P 1'
_cell_length_a 8.787
_cell_length_b 8.787
_cell_length_c 5.485
_cell_angle_alpha 90.00
_cell_angle_beta 90.00
_cell_angle_gamma 155.83
loop_
_atom_site_label
_atom_site_fract_x
_atom_site_fract_y
_atom_site_fract_z
_atom_site_occupancy
Dy1 0.092 0.908 0.750 1
Dy2 0.908 0.092 0.250 1
Y1 0.226 0.774 0.250 1
Y2 0.774 0.226 0.750 1
Mg1 0.434 0.566 0.750 1
Mg2 0.566 0.434 0.250 1
```

=====

[3]
Below is a geometry-optimized DyYMg structure, with properties calculated at the PBE level.

Calculated values
total magnetic moment = 0.1 μB/cell
energy above the most stable polymorph in this dataset = 47.2 kJ/mol of atoms
space-group type = No. 216

CIF file:
```
data_DyYMg
_chemical_formula_sum 'Dy1 Y1 Mg1'
_space_group_name_H-M_alt 'P 1'
_space_group_IT_number 1
_space_group_name_Hall 'P 1'
_cell_length_a 5.230
_cell_length_b 5.230
_cell_length_c 5.230
_cell_angle_alpha 60.00
_cell_angle_beta 60.00
_cell_angle_gamma 60.00
loop_
_atom_site_label
_atom_site_fract_x
_atom_site_fract_y
_atom_site_fract_z
_atom_site_occupancy
Dy1 0.000 0.000 0.000 1
Y1 0.500 0.500 0.500 1
Mg1 0.250 0.250 0.250 1
```

=====

[4]
Below is a geometry-optimized DyYMg structure, with properties calculated at the PBE level.

Calculated values
total magnetic moment = 0.0 μB/cell
energy above the most stable polymorph in this dataset = 0.0 kJ/mol of atoms
space-group type = No. 63

CIF file:
```
data_DyYMg
_chemical_formula_sum 'Dy2 Y2 Mg2'
_space_group_name_H-M_alt 'P 1'
_space_group_IT_number 1
_space_group_name_Hall 'P 1'
_cell_length_a 8.773
_cell_length_b 8.773
_cell_length_c 5.453
_cell_angle_alpha 90.00
_cell_angle_beta 90.00
_cell_angle_gamma 155.71
loop_
_atom_site_label
_atom_site_fract_x
_atom_site_fract_y
_atom_site_fract_z
_atom_site_occupancy
Dy1 0.227 0.773 0.750 1
Dy2 0.773 0.227 0.250 1
Y1 0.091 0.909 0.250 1
Y2 0.909 0.091 0.750 1
Mg1 0.433 0.567 0.250 1
Mg2 0.567 0.433 0.750 1
```

=====

[5]
Below is a geometry-optimized DyMgZn2 structure, with properties calculated at the PBE level.

Calculated values
total magnetic moment = 0.0 μB/cell
space-group type = No. 139
raw total energy = -10.0 eV for the cell shown

CIF file:
```
data_DyMgZn2
_chemical_formula_sum 'Dy1 Mg1 Zn2'
_space_group_name_H-M_alt 'P 1'
_space_group_IT_number 1
_space_group_name_Hall 'P 1'
_cell_length_a 4.810
_cell_length_b 4.810
_cell_length_c 4.810
_cell_angle_alpha 119.93
_cell_angle_beta 119.93
_cell_angle_gamma 90.12
loop_
_atom_site_label
_atom_site_fract_x
_atom_site_fract_y
_atom_site_fract_z
_atom_site_occupancy
Dy1 0.000 0.000 0.000 1
Mg1 0.500 0.500 0.000 1
Zn1 0.250 0.750 0.500 1
Zn2 0.750 0.250 0.500 1
```

=====

[6]
Below is a geometry-optimized DyMo structure, with properties calculated at the PBE level.

Calculated values
energy relative to the elements = 1.346 eV per atom
total magnetic moment = 0.0 μB/cell
energy above the most stable polymorph in this dataset = 75.5 kJ/mol of atoms
space-group type = No. 225

CIF file:
```
data_DyMo
_chemical_formula_sum 'Dy1 Mo1'
_space_group_name_H-M_alt 'P 1'
_space_group_IT_number 1
_space_group_name_Hall 'P 1'
_cell_length_a 4.055
_cell_length_b 4.055
_cell_length_c 4.055
_cell_angle_alpha 60.00
_cell_angle_beta 60.00
_cell_angle_gamma 60.00
loop_
_atom_site_label
_atom_site_fract_x
_atom_site_fract_y
_atom_site_fract_z
_atom_site_occupancy
Dy1 0.000 0.000 0.000 1
Mo1 0.500 0.500 0.500 1
```

=====

[7]
Below is a geometry-optimized DyMo structure, with properties calculated at the PBE level.

Calculated values
energy relative to the elements = 0.753 eV per atom
total magnetic moment = 1.7 μB/cell
energy above the most stable polymorph in this dataset = 18.3 kJ/mol of atoms
space-group type = No. 194

CIF file:
```
data_DyMo
_chemical_formula_sum 'Dy2 Mo2'
_space_group_name_H-M_alt 'P 1'
_space_group_IT_number 1
_space_group_name_Hall 'P 1'
_cell_length_a 3.188
_cell_length_b 3.188
_cell_length_c 9.663
_cell_angle_alpha 90.00
_cell_angle_beta 90.00
_cell_angle_gamma 120.00
loop_
_atom_site_label
_atom_site_fract_x
_atom_site_fract_y
_atom_site_fract_z
_atom_site_occupancy
Dy1 0.000 0.000 0.000 1
Dy2 0.000 0.000 0.500 1
Mo1 0.333 0.667 0.250 1
Mo2 0.667 0.333 0.750 1
```

=====

Taking the records one at a time from the top gives density values of 7.7 5.3 4.5 5.3 6.7 9.1 10.1 Mg/m³.